HfBiC3: relaxed, PBE-GGA. Values from VASP.

Structure (Quantum ESPRESSO input):
```
&SYSTEM
  ibrav = 0, nat = 5, ntyp = 3
/
ATOMIC_SPECIES
Hf 178.49 Hf.upf
Bi 208.98 Bi.upf
C 12.01 C.upf
CELL_PARAMETERS angstrom
4.336 0.000 0.000
0.000 4.336 0.000
0.000 0.000 4.336
ATOMIC_POSITIONS crystal
Hf 0.000 0.000 0.000
Bi 0.500 0.500 0.500
C 0.000 0.000 0.500
C 0.000 0.500 0.000
C 0.500 0.000 0.000
```

Summary:
* volume: 81.5 Å³ per cell
* total energy: -0.4785 Ry/atom
* ΔH_f (0 K): 1.79 eV/atom